No. 1
Entry from the Alexandria database: an optimized crystal structure of AlSiPb (GGA-PBEsol).

Lattice parameters (Å, degrees): 6.5744 6.5744 6.5744 90.00 90.00 90.00
Last column: nearest neighbours and their distance in Å.
Space group F-43m (No. 216)
Symmetry-distinct sites (fractional):
Al 0.0000 0.0000 0.0000 [4 per cell]  4 Si 2.85
Si 0.2500 0.2500 0.7500 [4 per cell]  4 Pb 2.85, 4 Al 2.85
Pb 0.0000 0.0000 0.5000 [4 per cell]  4 Si 2.85

- E_form (uncorrected) (eV/atom) = 0.432
- energy relative to the lowest polymorph listed for this composition (meV per atom) = 141.3
- crystal system = cubic

No. 2
Entry from the Alexandria database: an optimized crystal structure of BaLaAg2 (GGA-PBEsol).

Lattice parameters (Å, degrees): 7.3567 7.3567 7.3567 90.00 90.00 90.00
Last column: nearest neighbours and their distance in Å.
Space group F-43m (No. 216)
Symmetry-distinct sites (fractional):
Ba 0.0000 0.0000 0.0000 [4 per cell]  4 Ag 3.19, 4 La 3.19
La 0.2500 0.2500 0.7500 [4 per cell]  4 Ba 3.19, 4 Ag 3.19
Ag 0.0000 0.0000 0.5000 [4 per cell]  4 La 3.19, 4 Ag 3.19
Ag 0.2500 0.2500 0.2500 [4 per cell]  4 Ba 3.19, 4 Ag 3.19

- ΔH_f (0 K) (meV/atom) = -62
- crystal system = cubic

No. 3
Entry from the Alexandria database: an optimized crystal structure of KBeZn2 (GGA-PBEsol).

Lattice parameters (Å, degrees): 2.6249 3.7658 7.5701 90.00 90.00 90.00
Last column: nearest neighbours and their distance in Å.
Space group Pmm2 (No. 25)
Symmetry-distinct sites (fractional):
K 0.0000 0.0000 0.0000 [1 per cell]  2 K 2.62
Be 0.5000 0.5000 0.6551 [1 per cell]  5 Zn 2.41-2.42, 2 Be 2.62
Zn 0.0000 0.0000 0.5571 [1 per cell]  4 Be 2.41, 2 Zn 2.62
Zn 0.5000 0.5000 0.3351 [1 per cell]  1 Be 2.42, 2 Zn 2.62

- ΔH_f (0 K) (meV/atom) = 368
- crystal system = orthorhombic

No. 4
Entry from the Alexandria database: an optimized crystal structure of TlTe2Pd2 (GGA-PBEsol).

Lattice parameters (Å, degrees): 4.2537 4.2537 13.2993 90.00 90.00 90.00
Last column: nearest neighbours and their distance in Å.
Space group I4/mmm (No. 139)
Symmetry-distinct sites (fractional):
Tl 0.0000 0.0000 0.0000 [2 per cell]  8 Te 3.47
Te 0.0000 0.0000 0.3693 [4 per cell]  4 Pd 2.65
Pd 0.0000 0.5000 0.2500 [4 per cell]  4 Te 2.65

- E_form (uncorrected) (eV/atom) = -0.257
- crystal system = tetragonal

No. 5
Entry from the Alexandria database: an optimized crystal structure of Sc2SnWI (GGA-PBEsol).

Lattice parameters (Å, degrees): 5.1898 5.1898 4.9958 90.00 90.00 90.00
Last column: nearest neighbours and their distance in Å.
Space group P4/mmm (No. 123)
Symmetry-distinct sites (fractional):
Sc 0.0000 0.5000 0.0000 [2 per cell]  2 W 2.59
Sn 0.0000 0.0000 0.5000 [1 per cell]  8 Sc 3.60, 4 I 3.67
W 0.5000 0.5000 0.0000 [1 per cell]  2 I 2.50, 4 Sc 2.59
I 0.5000 0.5000 0.5000 [1 per cell]  2 W 2.50

- E_form (uncorrected) (eV/atom) = 0.720
- crystal system = tetragonal

No. 6
Entry from the Alexandria database: an optimized crystal structure of LaNi2 (GGA-PBEsol).

Lattice parameters (Å, degrees): 9.8717 3.8854 6.7839 90.00 125.78 90.00
Last column: nearest neighbours and their distance in Å.
Space group C2/m (No. 12)
Symmetry-distinct sites (fractional):
La 0.0628 0.0000 0.2881 [4 per cell]  6 Ni 2.78-2.98
Ni 0.1414 0.5000 0.6753 [4 per cell]  4 Ni 2.38-2.40
Ni 0.2210 0.5000 0.0845 [4 per cell]  5 Ni 2.38-2.49

- ΔH_f (0 K) (meV/atom) = -253
- crystal system = monoclinic

No. 7
Entry from the Alexandria database: an optimized crystal structure of ScMo3As (GGA-PBEsol).

Lattice parameters (Å, degrees): 4.5582 4.5582 4.5582 90.00 90.00 90.00
Last column: nearest neighbours and their distance in Å.
Space group Pm-3m (No. 221)
Symmetry-distinct sites (fractional):
Sc 0.0000 0.0000 0.0000 [1 per cell]  6 Mo 2.28
Mo 0.0000 0.0000 0.5000 [3 per cell]  2 Sc 2.28
As 0.5000 0.5000 0.5000 [1 per cell]  12 Mo 3.22

- energy relative to the lowest polymorph listed for this composition (meV per atom) = 1236.1
- ΔH_f (0 K) (meV/atom) = 2046
- crystal system = cubic

No. 8
Entry from the Alexandria database: an optimized crystal structure of RbCaSb3 (GGA-PBEsol).

Lattice parameters (Å, degrees): 5.7904 5.7904 5.7904 90.00 90.00 90.00
Last column: nearest neighbours and their distance in Å.
Space group Pm-3m (No. 221)
Symmetry-distinct sites (fractional):
Rb 0.0000 0.0000 0.0000 [1 per cell]  6 Sb 2.90
Ca 0.5000 0.5000 0.5000 [1 per cell]  12 Sb 4.09
Sb 0.0000 0.0000 0.5000 [3 per cell]  2 Rb 2.90

- E_form (uncorrected) (eV/atom) = 0.827
- crystal system = cubic

No. 9
Entry from the Alexandria database: an optimized crystal structure of Mg5Cr (GGA-PBEsol).

Lattice parameters (Å, degrees): 8.0358 8.0358 8.0358 90.00 90.00 90.00
Last column: nearest neighbours and their distance in Å.
Space group F-43m (No. 216)
Symmetry-distinct sites (fractional):
Mg 0.0000 0.0000 0.0000 [4 per cell]  12 Mg 3.33, 4 Cr 3.48
Mg 0.1245 0.1245 0.3755 [16 per cell]  6 Mg 2.83-2.85
Cr 0.2500 0.2500 0.7500 [4 per cell]  16 Mg 3.33-3.48

- ΔH_f (0 K) (meV/atom) = 359
- crystal system = cubic

No. 10
Entry from the Alexandria database: an optimized crystal structure of Tl2HgPb (GGA-PBEsol).

Lattice parameters (Å, degrees): 3.6385 5.5568 10.8999 90.00 90.00 90.00
Last column: nearest neighbours and their distance in Å.
Space group Cmmm (No. 65)
Symmetry-distinct sites (fractional):
Tl 0.0000 0.0000 0.2388 [4 per cell]  2 Hg 3.18, 4 Tl 3.32, 2 Pb 3.38
Hg 0.0000 0.5000 0.0000 [2 per cell]  4 Tl 3.18, 4 Hg 3.32
Pb 0.0000 0.5000 0.5000 [2 per cell]  6 Pb 3.32-3.64, 4 Tl 3.38

- ΔH_f (0 K) (meV/atom) = 10
- crystal system = orthorhombic

No. 11
Entry from the Alexandria database: an optimized crystal structure of NbSb2IO (GGA-PBEsol).

Lattice parameters (Å, degrees): 5.2798 5.2798 5.3625 90.00 90.00 90.00
Last column: nearest neighbours and their distance in Å.
Space group P4/mmm (No. 123)
Symmetry-distinct sites (fractional):
Nb 0.0000 0.0000 0.0000 [1 per cell]  4 Sb 2.64, 2 I 2.68
Sb 0.0000 0.5000 0.0000 [2 per cell]  2 Nb 2.64
I 0.0000 0.0000 0.5000 [1 per cell]  2 Nb 2.68
O 0.5000 0.5000 0.5000 [1 per cell]  4 I 3.73, 8 Sb 3.76

- E_form (uncorrected) (eV/atom) = 0.774
- crystal system = tetragonal

No. 12
Entry from the Alexandria database: an optimized crystal structure of K3CdTc (GGA-PBEsol).

Lattice parameters (Å, degrees): 6.1624 6.1624 6.1624 90.00 90.00 90.00
Last column: nearest neighbours and their distance in Å.
Space group Pm-3m (No. 221)
Symmetry-distinct sites (fractional):
K 0.0000 0.0000 0.5000 [3 per cell]  2 Tc 3.08
Cd 0.5000 0.5000 0.5000 [1 per cell]  12 K 4.36
Tc 0.0000 0.0000 0.0000 [1 per cell]  6 K 3.08

- ΔH_f (0 K) (meV/atom) = 1298
- crystal system = cubic

Calculated E_tot in order - -4.181 -3.592 -1.707 -4.577 -5.889 -6.140 -7.357 -2.539 -2.779 -2.446 -4.616 -1.874 eV per atom